[1]
Er2MgPd9 | PBE | optimized geometry

a = 4.0765 Å, b = 4.0765 Å, c = 12.0928 Å
α = 90.00°, β = 90.00°, γ = 90.00°
Last column: nearest neighbours and their distance in Å.
Space group P4/mmm (No. 123)
Asymmetric unit:
1 Er 0.0000 0.0000 0.1720 [2 per cell]  12 Pd 2.88-2.91
2 Mg 0.0000 0.0000 0.5000 [1 per cell]  12 Pd 2.80-2.88
3 Pd 0.0000 0.5000 0.0000 [2 per cell]  8 Pd 2.88-2.89, 4 Er 2.91
4 Pd 0.0000 0.5000 0.3410 [4 per cell]  2 Mg 2.80, 8 Pd 2.80-2.91, 2 Er 2.89
5 Pd 0.5000 0.5000 0.1693 [2 per cell]  4 Er 2.88, 8 Pd 2.89-2.91
6 Pd 0.5000 0.5000 0.5000 [1 per cell]  8 Pd 2.80, 4 Mg 2.88

Calculated values
**Calculated volume**: 201 Å³/cell
**Magnetization**: 0.00 μB per formula unit
**Fermi-level density of states**: 0.849 states/eV/atom
**Energy relative to the elements**: -9.0 eV/f.u.
**Density**: 10.88 g/cm³

=====

[2]
BaBiS2 | PBE | optimized geometry

a = 4.5270 Å, b = 4.5270 Å, c = 26.1208 Å
α = 90.00°, β = 90.00°, γ = 120.00°
Last column: nearest neighbours and their distance in Å.
Space group R-3m (No. 166, hexagonal axes)
Asymmetric unit:
1 Ba 0.0000 0.0000 0.0000 [3 per cell]  6 S 3.13
2 Bi 0.0000 0.0000 0.5000 [3 per cell]  2 S 2.63
3 S 0.0000 0.0000 0.3995 [6 per cell]  1 Bi 2.63

Calculated values
**Calculated volume**: 464 Å³/cell
**Magnetization**: 0.00 μB per formula unit
**Fermi-level density of states**: 0.687 states/eV/atom
**ΔE_f (raw)**: -0.756 eV/atom
**Density**: 4.41 g/cm³

=====

[3]
HgAs2Ir | PBE | optimized geometry

a = 3.6021 Å, b = 3.6021 Å, c = 22.6712 Å
α = 90.00°, β = 90.00°, γ = 120.00°
Last column: nearest neighbours and their distance in Å.
Space group R-3m (No. 166, hexagonal axes)
Asymmetric unit:
1 Hg 0.0000 0.0000 0.0000 [3 per cell]  6 As 3.14
2 As 0.0000 0.0000 0.2293 [6 per cell]  3 Ir 2.52
3 Ir 0.0000 0.0000 0.5000 [3 per cell]  6 As 2.52

Calculated values
**Calculated volume**: 255 Å³/cell
**Magnetization**: 0.00 μB per formula unit
**Fermi-level density of states**: 0.422 states/eV/atom
**Energy relative to the elements**: 0.0 eV/f.u.
**Density**: 10.61 g/cm³

=====

[4]
CaHfGeSb2 | PBE | optimized geometry

a = 5.5394 Å, b = 5.5394 Å, c = 5.1352 Å
α = 90.00°, β = 90.00°, γ = 90.00°
Last column: nearest neighbours and their distance in Å.
Space group P4/mmm (No. 123)
Asymmetric unit:
1 Ca 0.0000 0.0000 0.0000 [1 per cell]  8 Sb 3.78, 4 Ge 3.92
2 Hf 0.5000 0.5000 0.5000 [1 per cell]  2 Ge 2.57, 4 Sb 2.77
3 Ge 0.5000 0.5000 0.0000 [1 per cell]  2 Hf 2.57
4 Sb 0.0000 0.5000 0.5000 [2 per cell]  2 Hf 2.77

Calculated values
**Calculated volume**: 158 Å³/cell
**Magnetization**: 0.00 μB per formula unit
**Fermi-level density of states**: 0.605 states/eV/atom
**ΔE_f (raw)**: -0.139 eV/atom
**Density**: 5.64 g/cm³

=====

[5]
SrLaEr2 | PBE | optimized geometry

a = 3.7445 Å, b = 3.7445 Å, c = 10.5068 Å
α = 90.00°, β = 90.00°, γ = 90.00°
Last column: nearest neighbours and their distance in Å.
Space group P4/mmm (No. 123)
Asymmetric unit:
1 Sr 0.0000 0.0000 0.0000 [1 per cell]  4 Sr 3.74, 8 Er 3.92
2 La 0.0000 0.0000 0.5000 [1 per cell]  8 Er 3.55, 4 La 3.74
3 Er 0.5000 0.5000 0.2748 [2 per cell]  4 La 3.55, 4 Er 3.74, 4 Sr 3.92

Calculated values
**Calculated volume**: 147 Å³/cell
**Magnetization**: 0.00 μB per formula unit
**Fermi-level density of states**: 1.959 states/eV/atom
**Energy relative to the elements**: 0.6 eV/f.u.
**Density**: 6.32 g/cm³

=====

[6]
Sn2BrCl2 | PBE | optimized geometry

a = 4.8797 Å, b = 4.8797 Å, c = 20.6894 Å
α = 90.00°, β = 90.00°, γ = 120.00°
Last column: nearest neighbours and their distance in Å.
Space group R-3m (No. 166, hexagonal axes)
Asymmetric unit:
1 Sn 0.0000 0.0000 0.0789 [6 per cell]  3 Cl 2.88
2 Br 0.0000 0.0000 0.5000 [3 per cell]  6 Sn 3.35, 6 Cl 3.70
3 Cl 0.0000 0.0000 0.2828 [6 per cell]  3 Sn 2.88

Calculated values
**Calculated volume**: 427 Å³/cell
**Magnetization**: 0.51 μB per formula unit
**Fermi-level density of states**: 0.518 states/eV/atom
**ΔE_f (raw)**: -0.614 eV/atom
**Density**: 4.53 g/cm³